Entry 1:
## LaDyCo (PBE-GGA)

Data for a geometry-optimized LaDyCo structure.

Structure (POSCAR):
```
LaDyCo
1.0
0.000 3.323 3.323
3.323 0.000 3.323
3.323 3.323 0.000
La Dy Co
1 1 1
direct
0.000 0.000 0.000
0.250 0.250 0.250
0.500 0.500 0.500
```

Properties
* M_tot: 0.0 μB/f.u.
* total energy: -4.888 eV per atom
* energy of formation: 0.6554 eV per atom
* space group: F-43m (216)
* energy above the most stable polymorph in this dataset: 0.00 kcal/mol of atoms


Entry 2:
## La3Dy2YCoTe2 (PBE-GGA)

Data for a geometry-optimized La3Dy2YCoTe2 structure.

Structure (POSCAR):
```
La3Dy2YCoTe2
1.0
4.090 0.000 0.000
0.000 7.431 4.280
0.000 -7.431 4.280
La Dy Y Co Te
3 2 1 1 2
direct
0.000 0.000 0.000
0.000 0.195 0.600
0.000 0.600 0.195
0.500 0.597 0.826
0.500 0.826 0.597
0.500 0.367 0.367
0.000 0.603 0.603
0.500 0.265 0.933
0.500 0.933 0.265
```

Properties
* M_tot: 0.4 μB/f.u.
* total energy: -5.597 eV per atom
* space group: Amm2 (38)


Entry 3:
## LiDyCoS3 (PBE-GGA)

Data for a geometry-optimized LiDyCoS3 structure.

Structure (POSCAR):
```
LiDyCoS3
1.0
1.872 -5.939 0.000
1.872 5.939 0.000
0.000 0.000 10.383
Li Dy Co S
2 2 2 6
direct
0.228 0.772 0.750
0.772 0.228 0.250
0.000 0.000 0.000
0.000 0.000 0.500
0.483 0.517 0.250
0.517 0.483 0.750
0.088 0.912 0.250
0.357 0.643 0.089
0.357 0.643 0.411
0.643 0.357 0.589
0.643 0.357 0.911
0.912 0.088 0.750
```

Properties
* M_tot: 2.4 μB/f.u.
* total energy: -5.507 eV per atom
* space group: Cmcm (63)


Entry 4:
## LiDyCoSe3 (PBE-GGA)

Data for a geometry-optimized LiDyCoSe3 structure.

Structure (POSCAR):
```
LiDyCoSe3
1.0
1.941 -6.390 0.000
1.941 6.390 0.000
0.000 0.000 10.696
Li Dy Co Se
2 2 2 6
direct
0.218 0.782 0.750
0.782 0.218 0.250
0.000 0.000 0.000
0.000 0.000 0.500
0.479 0.521 0.250
0.521 0.479 0.750
0.089 0.911 0.250
0.355 0.645 0.083
0.355 0.645 0.417
0.645 0.355 0.583
0.645 0.355 0.917
0.911 0.089 0.750
```

Properties
* M_tot: 2.5 μB/f.u.
* total energy: -5.062 eV per atom
* space group: Cmcm (63)


Entry 5:
## DyLu2Co9 (PBE-GGA)

Data for a geometry-optimized DyLu2Co9 structure.

Structure (POSCAR):
```
DyLu2Co9
1.0
2.459 1.419 7.990
-2.459 1.419 7.990
0.000 -2.839 7.990
Dy Lu Co
1 2 9
direct
0.000 0.000 0.000
0.140 0.140 0.140
0.860 0.860 0.860
0.078 0.585 0.585
0.335 0.335 0.335
0.415 0.415 0.922
0.415 0.922 0.415
0.500 0.500 0.500
0.585 0.078 0.585
0.585 0.585 0.078
0.665 0.665 0.665
0.922 0.415 0.415
```

Properties
* M_tot: 10.7 μB/f.u.
* total energy: -6.690 eV per atom
* energy of formation: -0.2228 eV per atom
* space group: R-3m (166)


Entry 6:
## Dy2LuCo9 (PBE-GGA)

Data for a geometry-optimized Dy2LuCo9 structure.

Structure (POSCAR):
```
Dy2LuCo9
1.0
2.457 1.418 8.087
-2.457 1.418 8.087
0.000 -2.837 8.087
Dy Lu Co
2 1 9
direct
0.139 0.139 0.139
0.861 0.861 0.861
0.000 0.000 0.000
0.079 0.582 0.582
0.335 0.335 0.335
0.418 0.418 0.921
0.418 0.921 0.418
0.500 0.500 0.500
0.582 0.079 0.582
0.582 0.582 0.079
0.665 0.665 0.665
0.921 0.418 0.418
```

Properties
* M_tot: 10.4 μB/f.u.
* total energy: -6.659 eV per atom
* energy of formation: -0.1850 eV per atom
* space group: R-3m (166)


Entry 7:
## Dy2Lu2Co (PBE-GGA)

Data for a geometry-optimized Dy2Lu2Co structure.

Structure (POSCAR):
```
Dy2Lu2Co
1.0
5.732 -2.509 0.000
5.732 2.509 0.000
-4.131 0.000 8.925
Dy Lu Co
4 4 2
direct
0.021 0.021 0.344
0.363 0.363 0.807
0.637 0.637 0.193
0.979 0.979 0.656
0.155 0.155 0.995
0.339 0.339 0.399
0.661 0.661 0.601
0.845 0.845 0.005
0.400 0.400 0.157
0.600 0.600 0.843
```

Properties
* M_tot: 0.0 μB/f.u.
* total energy: -5.111 eV per atom
* energy of formation: -0.0393 eV per atom
* space group: C2/m (12)


Entry 8:
## Dy3Lu4Co2Te2 (PBE-GGA)

Data for a geometry-optimized Dy3Lu4Co2Te2 structure.

Structure (POSCAR):
```
Dy3Lu4Co2Te2
1.0
-1.900 7.713 4.715
1.900 -7.713 4.715
1.900 7.713 -4.715
Dy Lu Co Te
3 4 2 2
direct
0.000 0.000 0.000
0.287 0.422 0.865
0.557 0.422 0.135
0.313 0.626 0.686
0.625 0.275 0.350
0.925 0.275 0.650
0.940 0.626 0.314
0.166 0.932 0.235
0.697 0.932 0.765
0.266 0.766 0.500
0.667 0.667 0.000
```

Properties
* M_tot: 0.0 μB/f.u.
* total energy: -5.383 eV per atom
* space group: Imm2 (44)